Compound: Mn3Cu2NiP6O24
Source: the Alexandria database
Functional: PBE+U
Structure: optimized geometry

* N(E_F): 0.33 states/eV per atom
* crystal system: trigonal
* final energy: -6.80 eV per atom
* V: 12.0 Å³ per atom

```
Mn3Cu2NiP6O24
1.0
8.458 -0.018 -0.013
4.194 7.344 -0.013
4.194 2.429 6.931
Mn Cu Ni P O
3 2 1 6 24
direct
0.858 0.858 0.858
0.642 0.642 0.642
0.359 0.359 0.359
0.002 0.002 0.002
0.502 0.502 0.502
0.140 0.140 0.140
0.959 0.248 0.542
0.542 0.959 0.248
0.248 0.542 0.959
0.747 0.460 0.038
0.460 0.038 0.747
0.038 0.747 0.460
0.889 0.662 0.514
0.662 0.514 0.889
0.956 0.076 0.740
0.514 0.889 0.662
0.979 0.199 0.385
0.753 0.407 0.581
0.740 0.956 0.076
0.581 0.753 0.407
0.811 0.618 0.007
0.407 0.581 0.753
0.910 0.266 0.042
0.618 0.007 0.811
0.385 0.979 0.199
0.076 0.740 0.956
0.583 0.444 0.242
0.199 0.385 0.979
0.444 0.242 0.583
0.266 0.042 0.910
0.242 0.583 0.444
0.007 0.811 0.618
0.509 0.121 0.308
0.042 0.910 0.266
0.308 0.509 0.121
0.121 0.308 0.509
```